Y4Mo6O19 | PBE with a Hubbard U | optimized geometry

```
data_Y4Mo6O19
_chemical_formula_sum 'Y8 Mo12 O38'
_symmetry_space_group_name_H-M 'I 2 3'
_symmetry_Int_Tables_number 197
_symmetry_space_group_name_Hall 'I 2 2 3'
_cell_length_a 9.0803
_cell_length_b 9.0803
_cell_length_c 9.0803
_cell_angle_alpha 90.00
_cell_angle_beta 90.00
_cell_angle_gamma 90.00
loop_
_atom_site_label
_atom_site_fract_x
_atom_site_fract_y
_atom_site_fract_z
_atom_site_occupancy
Y1 0.1451 0.1451 0.1451 1
Mo1 0.0000 0.1412 0.5000 1
O1 0.0000 0.0000 0.0000 1
O2 0.0000 0.0000 0.3193 1
O3 0.0432 0.2868 0.3332 1
```

volume	12.91	A^3/atom
final energy	-7.8092	eV per atom

***

Li3MnVP4O14 | PBE with a Hubbard U | optimized geometry

```
data_Li3MnVP4O14
_chemical_formula_sum 'Li3 Mn1 V1 P4 O14'
_symmetry_space_group_name_H-M 'P 1'
_symmetry_Int_Tables_number 1
_cell_length_a 5.0494
_cell_length_b 7.0935
_cell_length_c 8.3832
_cell_angle_alpha 89.19
_cell_angle_beta 89.88
_cell_angle_gamma 70.90
loop_
_symmetry_equiv_pos_as_xyz
'x,y,z'
loop_
_atom_site_label
_atom_site_fract_x
_atom_site_fract_y
_atom_site_fract_z
_atom_site_occupancy
Li1 0.0000 0.0000 0.0000 1
Li2 0.0955 0.5666 0.6901 1
Li3 0.4548 0.2470 0.1954 1
Mn1 0.4709 0.1755 0.8223 1
V1 0.0585 0.6297 0.3431 1
P1 0.0497 0.9859 0.6201 1
P2 0.4822 0.8173 0.1354 1
P3 0.6682 0.3834 0.5172 1
P4 0.8809 0.4303 0.0242 1
O1 0.0477 0.4257 0.1795 1
O2 0.0677 0.4106 0.8789 1
O3 0.1047 0.7877 0.5324 1
O4 0.2014 0.7838 0.1732 1
O5 0.3090 0.0434 0.6426 1
O6 0.4050 0.0162 0.0415 1
O7 0.4689 0.4300 0.3723 1
O8 0.5125 0.4155 0.6756 1
O9 0.6460 0.6493 0.0083 1
O10 0.6691 0.8126 0.2773 1
O11 0.7294 0.2746 0.0330 1
O12 0.8353 0.1473 0.4991 1
O13 0.8900 0.4897 0.5099 1
O14 0.8956 0.9783 0.7782 1
```

volume	12.34	A^3/atom
final energy	-7.1197	eV per atom